1.
PrNd2AlSi2 | PBE-GGA | optimized geometry

a = 4.7559 Å, b = 4.7559 Å, c = 8.7754 Å
α = 105.72°, β = 105.72°, γ = 90.00°
Positions (direct):
Nd: 0.2500 0.7500 0.5000
Nd: 0.7500 0.2500 0.5000
Si: 0.1417 0.1417 0.2835
Si: 0.8583 0.8583 0.7165
Pr: 0.5000 0.5000 0.0000
Al: 0.0000 0.0000 0.0000

Electronic total energy ... -28.6 eV per cell
M_tot ... 0.0 μB per cell
Energy relative to the elements, uncorrected ... 0.0550 eV per atom
Space-group type ... I4/mmm, No. 139


2.
EuCd4Pb | PBE-GGA | optimized geometry

a = 6.0817 Å, b = 6.0817 Å, c = 6.0817 Å
α = 60.00°, β = 60.00°, γ = 60.00°
Last column: magnetic moment on the atom in μB.
Positions (direct):
Cd: 0.1253 0.6249 0.6249  0.00
Cd: 0.6249 0.6249 0.1253  0.00
Cd: 0.6249 0.1253 0.6249  0.00
Cd: 0.6249 0.6249 0.6249  0.00
Eu: 0.2500 0.2500 0.2500  -6.90
Pb: 0.0000 0.0000 0.0000  -0.01

Electronic total energy ... -18.8 eV per cell
M_tot ... 7.2 μB per cell
ΔE_f ... -1.2 eV per formula unit
Space-group type ... F-43m, No. 216